DFT (PBE-GGA) results for a relaxed structure of La3Tb6Sm2Er.

Output
- formation energy (eV per atom) = 0.018
- total energy (eV/atom) = -4.70
- SG = C2/m, No. 12

Cell and atoms, written as CIF:
```
data_La3Tb6Sm2Er
_cell_length_a 6.269
_cell_length_b 6.269
_cell_length_c 11.941
_cell_angle_alpha 95.02
_cell_angle_beta 95.02
_cell_angle_gamma 120.03
_symmetry_space_group_name_H-M 'P 1'
_symmetry_Int_Tables_number 1
loop_
_symmetry_equiv_pos_as_xyz
'x,y,z'
loop_
_atom_site_label
_atom_site_type_symbol
_atom_site_fract_x
_atom_site_fract_y
_atom_site_fract_z
Tb1 Tb 0.918 0.586 0.754
Sm1 Sm 0.666 0.334 0.000
La1 La 0.833 0.167 0.500
Tb2 Tb 0.082 0.414 0.246
La2 La 0.167 0.833 0.500
Tb3 Tb 0.749 0.749 0.246
La3 La 0.500 0.500 0.500
Sm2 Sm 0.334 0.666 0.000
Tb4 Tb 0.414 0.082 0.246
Er1 Er 0.000 0.000 0.000
Tb5 Tb 0.251 0.251 0.754
Tb6 Tb 0.586 0.918 0.754
```

***

DFT (PBE-GGA) results for a relaxed structure of La4PmNd2Er.

Output
- formation energy (eV per atom) = 0.014
- total energy (eV/atom) = -4.81
- SG = P2/m, No. 10

Cell and atoms, written as CIF:
```
data_La4PmNd2Er
_cell_length_a 5.262
_cell_length_b 5.229
_cell_length_c 11.543
_cell_angle_alpha 63.01
_cell_angle_beta 90.00
_cell_angle_gamma 90.00
_symmetry_space_group_name_H-M 'P 1'
_symmetry_Int_Tables_number 1
loop_
_symmetry_equiv_pos_as_xyz
'x,y,z'
loop_
_atom_site_label
_atom_site_type_symbol
_atom_site_fract_x
_atom_site_fract_y
_atom_site_fract_z
Pm1 Pm 0.000 0.500 0.500
Er1 Er 0.500 0.500 0.000
Nd1 Nd 0.500 0.000 0.500
Nd2 Nd 0.000 0.000 0.000
La1 La 0.500 0.752 0.248
La2 La 0.000 0.251 0.248
La3 La 0.000 0.749 0.752
La4 La 0.500 0.248 0.752
```

***

DFT (PBE-GGA) results for a relaxed structure of Tb2ThGa.

Output
- formation energy (eV per atom) = -0.159
- total energy (eV/atom) = -5.09
- relative energy among the computed polymorphs (meV/atom) = 119
- SG = R3m, No. 160

Cell and atoms, written as CIF:
```
data_Tb2ThGa
_cell_length_a 3.593
_cell_length_b 3.593
_cell_length_c 10.546
_cell_angle_alpha 80.19
_cell_angle_beta 80.19
_cell_angle_gamma 60.00
_symmetry_space_group_name_H-M 'P 1'
_symmetry_Int_Tables_number 1
loop_
_symmetry_equiv_pos_as_xyz
'x,y,z'
loop_
_atom_site_label
_atom_site_type_symbol
_atom_site_fract_x
_atom_site_fract_y
_atom_site_fract_z
Ga1 Ga 0.666 0.666 0.001
Tb1 Tb 0.262 0.262 0.213
Tb2 Tb 0.071 0.071 0.787
Th1 Th 0.500 0.500 0.499
```